No. 1
A geometry-optimized DyY2Er4Ni2Te2 structure, computed with PBE-GGA.

Structure (POSCAR):
```
DyY2Er4Ni2Te2
1.0
-1.920 7.772 4.775
1.920 -7.772 4.775
1.920 7.772 -4.775
Dy Y Er Ni Te
1 2 4 2 2
direct
0.000 0.000 0.000 Dy
0.287 0.418 0.869 Y
0.550 0.418 0.131 Y
0.305 0.620 0.685 Er
0.623 0.271 0.353 Er
0.918 0.271 0.647 Er
0.934 0.620 0.315 Er
0.165 0.928 0.236 Ni
0.692 0.928 0.764 Ni
0.264 0.764 0.500 Te
0.666 0.666 0.000 Te
```

## Properties
The calculated volume is 25.906 Å³ per atom. As for the magnetic moment: 0.01 μB per cell. The total energy is -5.520 eV per atom.


No. 2
A geometry-optimized BaZn2Cd structure, computed with PBE-GGA.

Structure (POSCAR):
```
BaZn2Cd
1.0
0.000 3.714 3.714
3.714 0.000 3.714
3.714 3.714 0.000
Ba Zn Cd
1 2 1
direct
0.000 0.000 0.000 Ba
0.500 0.500 0.500 Zn
0.750 0.750 0.750 Zn
0.250 0.250 0.250 Cd
```

## Properties
The calculated volume is 25.624 Å³ per atom. The total energy is -1.374 eV per atom.


No. 3
A geometry-optimized CoBSb2 structure, computed with PBE-GGA.

Structure (POSCAR):
```
CoBSb2
1.0
0.000 3.288 3.288
3.288 0.000 3.288
3.288 3.288 0.000
Co B Sb
1 1 2
direct
0.000 0.000 0.000 Co
0.750 0.750 0.750 B
0.250 0.250 0.250 Sb
0.500 0.500 0.500 Sb
```

## Properties
The calculated volume is 17.767 Å³ per atom. As for the magnetic moment: 0.95 μB per cell. The total energy is -4.223 eV per atom.


No. 4
A geometry-optimized Ho4I3Br2N structure, computed with PBE-GGA.

Structure (POSCAR):
```
Ho4I3Br2N
1.0
9.156 -1.916 0.000
9.156 1.916 0.000
-1.779 0.000 8.188
Ho I Br N
4 3 2 1
direct
0.001 0.001 0.311 Ho
0.371 0.371 0.435 Ho
0.629 0.629 0.565 Ho
0.999 0.999 0.689 Ho
0.170 0.170 0.315 I
0.500 0.500 0.000 I
0.830 0.830 0.685 I
0.157 0.157 0.824 Br
0.843 0.843 0.176 Br
0.500 0.500 0.500 N
```

## Properties
The calculated volume is 28.727 Å³ per atom. As for the magnetic moment: 0.00 μB per cell. The total energy is -4.834 eV per atom.


Which of these has the highest calculated volume? Ho4I3Br2N